A plane-wave DFT calculation with PBE was carried out for crystalline LiTi2Ru at its relaxed geometry.

Unit cell a=3.111 b=4.355 c=4.355 alpha=90.00 beta=90.00 gamma=90.00
Sites, in units of the cell vectors:
Li 0.500 0.000 0.000
Ti 0.000 0.000 0.500
Ti 0.000 0.500 0.000
Ru 0.500 0.500 0.500

Total magnetic moment (μB/atom): 0.00
Fermi-level density of states (states/eV/f.u.): 3.41
DFT total energy (eV per atom): -6.968
Energy of formation from the pure elements (eV per atom): -0.223